First-principles (PBE-GGA) data for a geometry-optimized LaZn2Cd2 structure, as listed in Alexandria via LeMat-Bulk.

The space-group type is No. 127. The calculation puts the distance to the lowest polymorph of the same formula at 0.200 eV per atom. For the total magnetization, the calculation gives 0.000 μB/atom. The formation energy is -0.10 eV/atom.

Cell lengths 8.4172, 8.4172, 3.1305 Å; angles 90.00, 90.00, 90.00 degrees
Last column: nearest neighbours and their distance in Å.
Sites, in units of the cell vectors:
Zn: 0.3762 0.8762 0.0000  6 Cd 2.92-2.94, 3 Zn 2.95-3.13
Zn: 0.8762 0.6238 0.0000  6 Cd 2.92-2.94, 3 Zn 2.95-3.13
Zn: 0.6238 0.1238 0.0000  6 Cd 2.92-2.94, 3 Zn 2.95-3.13
Zn: 0.1238 0.3762 0.0000  6 Cd 2.92-2.94, 3 Zn 2.95-3.13
Cd: 0.1690 0.6690 0.5000  6 Zn 2.92-2.94, 2 Cd 3.13
Cd: 0.6690 0.8310 0.5000  6 Zn 2.92-2.94, 2 Cd 3.13
Cd: 0.8310 0.3310 0.5000  6 Zn 2.92-2.94, 2 Cd 3.13
Cd: 0.3310 0.1690 0.5000  6 Zn 2.92-2.94, 2 Cd 3.13
La: 0.0000 0.0000 0.0000  2 La 3.13, 4 Zn 3.33, 8 Cd 3.50
La: 0.5000 0.5000 0.0000  2 La 3.13, 4 Zn 3.33, 8 Cd 3.50

***

First-principles (PBE-GGA) data for a geometry-optimized TlSi3B structure, as listed in Alexandria via LeMat-Bulk.

The space-group type is No. 221. The calculation puts the distance to the lowest polymorph of the same formula at 0.000 eV per atom. For the total magnetization, the calculation gives 0.000 μB/atom. For the formation energy (no corrections), the calculation gives 75 kJ/mol of atoms.

Cell lengths 4.3462, 4.3462, 4.3462 Å; angles 90.00, 90.00, 90.00 degrees
Last column: nearest neighbours and their distance in Å.
Sites, in units of the cell vectors:
Tl: 0.5000 0.5000 0.5000  12 Si 3.07
B: 0.0000 0.0000 0.0000  6 Si 2.17
Si: 0.0000 0.5000 0.0000  2 B 2.17
Si: 0.0000 0.0000 0.5000  2 B 2.17
Si: 0.5000 0.0000 0.0000  2 B 2.17

***

First-principles (PBE-GGA) data for a geometry-optimized NaCN2O structure, as listed in Alexandria via LeMat-Bulk.

The space-group type is No. 123. For the total magnetization, the calculation gives 0.000 μB/atom. For the formation energy (no corrections), the calculation gives 145 kJ/mol of atoms.

Cell lengths 2.9832, 2.9832, 6.4948 Å; angles 90.00, 90.00, 90.00 degrees
Last column: nearest neighbours and their distance in Å.
Sites, in units of the cell vectors:
Na: 0.5000 0.5000 0.5000  4 O 2.11
C: 0.0000 0.0000 0.0000  4 N 1.49
O: 0.0000 0.0000 0.5000  4 Na 2.11
N: 0.0000 0.5000 0.0000  2 C 1.49
N: 0.5000 0.0000 0.0000  2 C 1.49

***

First-principles (PBE-GGA) data for a geometry-optimized NaReCl6 structure, as listed in Alexandria via LeMat-Bulk.

The space-group type is No. 12. For the total magnetization, the calculation gives 0.250 μB/atom. For the formation energy (no corrections), the calculation gives -84 kJ/mol of atoms.

Cell lengths 6.4571, 6.7420, 6.6010 Å; angles 59.29, 80.95, 72.06 degrees
Last column: nearest neighbours and their distance in Å.
Sites, in units of the cell vectors:
Na: 0.0000 0.0000 0.0000  6 Cl 2.80-3.03
Re: 0.5000 0.5000 0.0000  6 Cl 2.31-2.35
Cl: 0.7287 0.4506 0.7065  1 Re 2.35
Cl: 0.7287 0.1571 0.2935  1 Re 2.35
Cl: 0.2713 0.8429 0.7065  1 Re 2.35
Cl: 0.2713 0.5494 0.2935  1 Re 2.35
Cl: 0.6974 0.7335 0.0000  1 Re 2.31
Cl: 0.3026 0.2665 0.0000  1 Re 2.31

***

First-principles (PBE-GGA) data for a geometry-optimized BaFe2Ru structure, as listed in Alexandria via LeMat-Bulk.

The space-group type is No. 44. For the total magnetization, the calculation gives 1.479 μB/atom. The formation energy is 0.95 eV/atom.

Cell lengths 5.7317, 5.7317, 5.7317 Å; angles 149.57, 125.73, 63.49 degrees
Last column: nearest neighbours and their distance in Å.
Sites, in units of the cell vectors:
Ba: 0.2544 0.7544 0.5000  2 Ba 3.01, 8 Fe 3.02-3.28, 4 Ru 3.19-3.33
Fe: 0.9559 0.9559 0.0000  2 Fe 2.53
Fe: 0.7468 0.2468 0.5000  2 Ru 2.49, 2 Fe 2.53
Ru: 0.5430 0.5430 0.0000  2 Fe 2.49

***

First-principles (PBE-GGA) data for a geometry-optimized AlAu structure, as listed in Alexandria via LeMat-Bulk.

The space-group type is No. 166. For the total magnetization, the calculation gives 0.000 μB/atom. The formation energy is -0.22 eV/atom.

Cell lengths 8.6783, 8.6783, 8.6783 Å; angles 20.40, 20.40, 20.40 degrees
Last column: nearest neighbours and their distance in Å.
Sites, in units of the cell vectors:
Au: 0.4941 0.4941 0.4941  3 Al 2.63
Au: 0.2559 0.2559 0.2559  3 Al 2.63
Al: 0.9987 0.9987 0.9987  3 Au 2.63, 3 Al 2.82
Al: 0.7513 0.7513 0.7513  3 Au 2.63, 3 Al 2.82

***

First-principles (PBE-GGA) data for a geometry-optimized CoPd3I structure, as listed in Alexandria via LeMat-Bulk.

The space-group type is No. 221. The calculation puts the distance to the lowest polymorph of the same formula at 0.000 eV per atom. For the total magnetization, the calculation gives 0.633 μB/atom. For the formation energy (no corrections), the calculation gives 65 kJ/mol of atoms.

Cell lengths 4.6803, 4.6803, 4.6803 Å; angles 90.00, 90.00, 90.00 degrees
Last column: nearest neighbours and their distance in Å.
Sites, in units of the cell vectors:
I: 0.5000 0.5000 0.5000  12 Pd 3.31
Co: 0.0000 0.0000 0.0000  6 Pd 2.34
Pd: 0.0000 0.5000 0.0000  2 Co 2.34
Pd: 0.0000 0.0000 0.5000  2 Co 2.34
Pd: 0.5000 0.0000 0.0000  2 Co 2.34

***

First-principles (PBE-GGA) data for a geometry-optimized MgSi2Pt structure, as listed in Alexandria via LeMat-Bulk.

The space-group type is No. 166. For the total magnetization, the calculation gives 0.000 μB/atom. For the formation energy (no corrections), the calculation gives -16 kJ/mol of atoms.

Cell lengths 7.6978, 7.6978, 7.6978 Å; angles 24.91, 24.91, 24.91 degrees
Last column: nearest neighbours and their distance in Å.
Sites, in units of the cell vectors:
Mg: 0.2500 0.2500 0.2500  6 Si 2.88
Pt: 0.7500 0.7500 0.7500  6 Si 2.49
Si: 0.0125 0.0125 0.0125  3 Pt 2.49
Si: 0.4875 0.4875 0.4875  3 Pt 2.49

***

First-principles (PBE-GGA) data for a geometry-optimized AcNdSmPt2 structure, as listed in Alexandria via LeMat-Bulk.

The space-group type is No. 12. For the total magnetization, the calculation gives 0.000 μB/atom. The formation energy is -0.93 eV/atom.

Cell lengths 4.6457, 8.8644, 8.0377 Å; angles 86.03, 73.20, 74.81 degrees
Last column: nearest neighbours and their distance in Å.
Sites, in units of the cell vectors:
Ac: 0.8180 0.7275 0.6365  5 Pt 3.16-3.34
Ac: 0.1820 0.2725 0.3635  5 Pt 3.16-3.34
Nd: 0.3849 0.3706 0.8596  4 Pt 2.98-3.06
Nd: 0.6151 0.6294 0.1404  4 Pt 2.98-3.06
Sm: 0.0843 0.0481 0.7832  5 Pt 2.86-3.11
Sm: 0.9157 0.9519 0.2168  5 Pt 2.86-3.11
Pt: 0.3472 0.8852 0.4203  3 Sm 2.86-3.11, 1 Nd 3.06, 2 Ac 3.16
Pt: 0.6528 0.1148 0.5797  3 Sm 2.86-3.11, 1 Nd 3.06, 2 Ac 3.16
Pt: 0.8205 0.2792 0.0798  3 Nd 2.98-3.03, 2 Sm 3.00-3.01, 2 Ac 3.19
Pt: 0.1795 0.7208 0.9202  3 Nd 2.98-3.03, 2 Sm 3.00-3.01, 2 Ac 3.19

***

First-principles (PBE-GGA) data for a geometry-optimized Dy4ZnNi structure, as listed in Alexandria via LeMat-Bulk.

The space-group type is No. 216. The calculation puts the distance to the lowest polymorph of the same formula at 0.000 eV per atom. For the total magnetization, the calculation gives 0.000 μB/atom. The formation energy is -0.28 eV/atom.

Cell lengths 9.3933, 9.3933, 9.3933 Å; angles 60.00, 60.00, 60.00 degrees
Last column: nearest neighbours and their distance in Å.
Sites, in units of the cell vectors:
Dy: 0.3977 0.3977 0.3977  3 Ni 2.78
Dy: 0.8068 0.3977 0.3977  3 Ni 2.78
Dy: 0.3977 0.8068 0.3977  3 Ni 2.78
Dy: 0.3977 0.3977 0.8068  3 Ni 2.78
Dy: 0.5583 0.5583 0.9417  2 Ni 2.77
Dy: 0.9417 0.9417 0.5583  2 Ni 2.77
Dy: 0.5583 0.9417 0.5583  2 Ni 2.77
Dy: 0.9417 0.5583 0.9417  2 Ni 2.77
Dy: 0.9417 0.5583 0.5583  2 Ni 2.77
Dy: 0.5583 0.9417 0.9417  2 Ni 2.77
Dy: 0.1859 0.1859 0.8141  2 Zn 3.22, 2 Ni 3.41, 10 Dy 3.41-3.51
Dy: 0.8141 0.8141 0.1859  2 Zn 3.22, 2 Ni 3.41, 10 Dy 3.41-3.51
Dy: 0.1859 0.8141 0.1859  2 Zn 3.22, 2 Ni 3.41, 10 Dy 3.41-3.51
Dy: 0.8141 0.1859 0.8141  2 Zn 3.22, 2 Ni 3.41, 10 Dy 3.41-3.51
Dy: 0.8141 0.1859 0.1859  2 Zn 3.22, 2 Ni 3.41, 10 Dy 3.41-3.51
Dy: 0.1859 0.8141 0.8141  2 Zn 3.22, 2 Ni 3.41, 10 Dy 3.41-3.51
Zn: 0.1713 0.1713 0.1713  3 Zn 2.96, 6 Dy 3.22-3.28
Zn: 0.4860 0.1713 0.1713  3 Zn 2.96, 6 Dy 3.22-3.28
Zn: 0.1713 0.4860 0.1713  3 Zn 2.96, 6 Dy 3.22-3.28
Zn: 0.1713 0.1713 0.4860  3 Zn 2.96, 6 Dy 3.22-3.28
Ni: 0.6066 0.6066 0.6066  6 Dy 2.77-2.78
Ni: 0.1801 0.6066 0.6066  6 Dy 2.77-2.78
Ni: 0.6066 0.1801 0.6066  6 Dy 2.77-2.78
Ni: 0.6066 0.6066 0.1801  6 Dy 2.77-2.78

***

First-principles (PBE-GGA) data for a geometry-optimized La2Al4Zn3Pt structure, as listed in Alexandria via LeMat-Bulk.

The space-group type is No. 115. For the total magnetization, the calculation gives 0.000 μB/atom. The formation energy is -0.59 eV/atom.

Cell lengths 4.3176, 4.3176, 10.7528 Å; angles 90.00, 90.00, 90.00 degrees
Last column: nearest neighbours and their distance in Å.
Sites, in units of the cell vectors:
La: 0.5000 0.0000 0.2525  6 Zn 3.29-3.43, 8 Al 3.32-3.47, 2 Pt 3.43
La: 0.0000 0.5000 0.7475  6 Zn 3.29-3.43, 8 Al 3.32-3.47, 2 Pt 3.43
Al: 0.5000 0.5000 0.0000  4 Zn 2.62
Al: 0.0000 0.0000 0.0000  4 Zn 2.62
Al: 0.5000 0.0000 0.6251  2 Pt 2.54, 3 Zn 2.54-2.56
Al: 0.0000 0.5000 0.3749  3 Zn 2.54-2.56, 2 Pt 2.54
Zn: 0.0000 0.0000 0.5000  4 Al 2.54
Zn: 0.5000 0.0000 0.8627  5 Al 2.56-2.62
Zn: 0.0000 0.5000 0.1373  5 Al 2.56-2.62
Pt: 0.5000 0.5000 0.5000  4 Al 2.54

***

First-principles (PBE-GGA) data for a geometry-optimized La2PrDy3Er6 structure, as listed in Alexandria via LeMat-Bulk.

The space-group type is No. 12. For the total magnetization, the calculation gives 0.000 μB/atom. The formation energy is 0.02 eV/atom.

Cell lengths 6.2002, 6.2002, 11.7753 Å; angles 95.02, 95.02, 119.98 degrees
Last column: nearest neighbours and their distance in Å.
Sites, in units of the cell vectors:
La: 0.3333 0.6667 0.0000  3 La 3.58, 3 Pr 3.58, 6 Er 3.61
La: 0.6667 0.3333 0.0000  3 La 3.58, 3 Pr 3.58, 6 Er 3.61
Pr: 0.0000 0.0000 0.0000  6 La 3.58, 6 Er 3.60-3.61
Dy: 0.1665 0.8335 0.5000  6 Er 3.51, 6 Dy 3.58
Dy: 0.8335 0.1665 0.5000  6 Er 3.51, 6 Dy 3.58
Dy: 0.5000 0.5000 0.5000  6 Er 3.51, 6 Dy 3.58
Er: 0.9141 0.5811 0.7447  3 Dy 3.51, 6 Er 3.58, 2 La 3.61, 1 Pr 3.61
Er: 0.7529 0.7529 0.2553  3 Dy 3.51, 6 Er 3.58, 1 Pr 3.60, 2 La 3.61
Er: 0.0859 0.4189 0.2553  3 Dy 3.51, 6 Er 3.58, 2 La 3.61, 1 Pr 3.61
Er: 0.5811 0.9141 0.7447  3 Dy 3.51, 6 Er 3.58, 2 La 3.61, 1 Pr 3.61
Er: 0.2471 0.2471 0.7447  3 Dy 3.51, 6 Er 3.58, 1 Pr 3.60, 2 La 3.61
Er: 0.4189 0.0859 0.2553  3 Dy 3.51, 6 Er 3.58, 2 La 3.61, 1 Pr 3.61

***

| no. | electronic total energy (eV per atom) |
| --- | --- |
| 1 | -1.96 |
| 2 | -4.28 |
| 3 | -4.92 |
| 4 | -3.98 |
| 5 | -6.09 |
| 6 | -3.73 |
| 7 | -4.17 |
| 8 | -4.79 |
| 9 | -6.06 |
| 10 | -4.52 |
| 11 | -4.06 |
| 12 | -4.63 |